First-principles (PBE-GGA) data for crystalline LaRuN2O at its relaxed geometry, as listed in Alexandria via LeMat-Bulk.

Output
- Formation energy from raw total energies: -0.8497 eV/atom

a b c (Å): 3.8759 3.8759 4.1692
angles (deg): 90.00 90.00 90.00
Last column: nearest neighbours and their distance in Å.
Positions (direct):
1 O 0.0000 0.0000 0.5000  2 Ru 2.08
2 N 0.5000 0.0000 0.0000  2 Ru 1.94
3 N 0.0000 0.5000 0.0000  2 Ru 1.94
4 La 0.5000 0.5000 0.5000  4 O 2.74, 8 N 2.85
5 Ru 0.0000 0.0000 0.0000  4 N 1.94, 2 O 2.08